Computed, not measured: crystalline YIr3 at its relaxed geometry at the PBE level of DFT.

Summary:
SG = I4/mmm, No. 139

Lattice parameters (Å, degrees): 8.6490 8.6490 8.6490 152.86 152.86 38.76
Atoms (fractional coordinates):
Y  0.3789  0.3789  0.0000
Y  0.6211  0.6211  0.0000
Ir  0.5000  0.0000  0.5000
Ir  0.0000  0.5000  0.5000
Ir  0.7500  0.2500  0.5000
Ir  0.2500  0.7500  0.5000
Ir  0.1276  0.1276  0.0000
Ir  0.8724  0.8724  0.0000



Computed, not measured: crystalline Cs at its relaxed geometry at the PBE level of DFT.

Summary:
SG = I4_1/amd, No. 141
ΔE to the lowest computed polymorph = 5.19 kJ per mole of atoms

Lattice parameters (Å, degrees): 5.1123 5.1123 9.9158 104.94 104.94 90.00
Atoms (fractional coordinates):
Cs  0.7500  0.2500  0.5000
Cs  0.5000  0.5000  0.0000



Computed, not measured: crystalline MgTl3As at its relaxed geometry at the PBE level of DFT.

Summary:
SG = Pm-3m, No. 221
ΔE to the lowest computed polymorph = 0.00 kJ per mole of atoms

Lattice parameters (Å, degrees): 5.5994 5.5994 5.5994 90.00 90.00 90.00
Atoms (fractional coordinates):
Mg  0.5000  0.5000  0.5000
Tl  0.0000  0.5000  0.0000
Tl  0.0000  0.0000  0.5000
Tl  0.5000  0.0000  0.0000
As  0.0000  0.0000  0.0000



Computed, not measured: crystalline La2MgBe at its relaxed geometry at the PBE level of DFT.

Summary:
SG = P4/mmm, No. 123
ΔE to the lowest computed polymorph = 0.00 kJ per mole of atoms

Lattice parameters (Å, degrees): 3.7056 3.7056 7.8478 90.00 90.00 90.00
Atoms (fractional coordinates):
Be  0.5000  0.5000  0.7500
Mg  0.5000  0.5000  0.2500
La  0.0000  0.0000  0.9601
La  0.0000  0.0000  0.5399



| no. | spin magnetization (μB/atom) | density of states at the Fermi level (states/eV per atom) | ΔH_f (0 K) (eV per atom) |
| --- | --- | --- | --- |
| 1 | 0.000 | 0.815 | -0.334 |
| 2 | 0.000 | 1.086 | 0.054 |
| 3 | 0.000 | 0.675 | 0.370 |
| 4 | 0.000 | 0.810 | 0.041 |